Density functional theory data (PBE+U) for an optimized crystal structure of Ba6Y2Fe4O15.

Properties
* raw total energy: -187.08 eV per formula unit

Structure (extended XYZ):
```
54
Lattice="6.0621 0.0000 0.0000 0.0000 8.1558 -0.0016 0.0000 0.3534 18.7072" Properties=species:S:1:pos:R:3 pbc="T T T"
Ba 1.6947 0.0884 4.6768
Ba 4.3674 0.2651 14.0304
Ba 2.0394 4.1663 4.6760
Ba 4.0227 4.3430 14.0297
Ba 4.5551 7.9755 1.6762
Ba 4.5551 0.3571 7.6759
Ba 1.5070 0.5338 17.0295
Ba 1.5070 8.1522 11.0298
Ba 1.4913 4.2959 10.7960
Ba 1.4913 4.3901 17.2633
Ba 4.5709 4.2134 7.9097
Ba 4.5709 4.1192 1.4424
Y 1.5306 6.2897 7.6540
Y 1.5306 2.0428 1.6981
Y 4.5315 2.2195 11.0517
Y 4.5315 6.4664 17.0076
Fe 1.5471 6.1781 1.1058
Fe 1.5471 2.1544 8.2462
Fe 4.5150 2.3312 17.5999
Fe 4.5150 6.3548 10.4594
Fe 4.7259 6.3656 4.9801
Fe 4.7259 1.9669 4.3720
Fe 1.3363 2.1437 13.7256
Fe 1.3363 6.5423 14.3337
O 4.8429 0.0884 4.6768
O 1.2192 0.2651 14.0304
O 4.6441 8.0274 11.3912
O 4.6441 0.6586 16.6681
O 1.4180 0.4818 7.3145
O 1.4180 7.8507 2.0375
O 1.4473 4.3454 1.6558
O 1.4473 3.9872 7.6963
O 4.6149 4.1639 17.0499
O 4.6149 4.5221 11.0094
O 0.3796 6.0217 5.7002
O 0.3796 2.3108 3.6518
O 5.6825 2.4876 13.0055
O 5.6825 6.1984 15.0538
O 3.4083 6.2121 6.3641
O 3.4083 2.1204 2.9880
O 2.6539 2.2972 12.3416
O 2.6539 6.3888 15.7177
O 2.9110 6.4234 9.4291
O 2.9110 2.2626 18.6302
O 3.1511 2.0858 9.2766
O 3.1511 6.2467 0.0755
O 0.1310 6.6314 18.5128
O 0.1310 2.0545 9.5465
O 5.9311 1.8778 0.1929
O 5.9311 6.4547 9.1592
O 2.0324 5.8660 12.7509
O 2.0324 2.8200 15.3084
O 4.0297 2.6433 5.9548
O 4.0297 5.6893 3.3973
```